(1)
VASP calculation (GGA-PBE) on an optimized crystal structure of DyNi3C.

Computed properties:
VASP energy	-6.27	eV/atom
space group	P6_3/mmc, No. 194
V	12.80	A^3/atom
formation energy from the elements	-36	meV/atom

Cell: 4.8887 5.4995 5.4996 Å, 120.00 90.00 90.00°
Last column: nearest neighbours and their distance in Å.
Atoms (fractional coordinates):
Ni1 0.7500 0.6764 0.8382  2 C 1.97
Ni2 0.7500 0.1619 0.3236  2 C 1.97
C1 0.0000 0.0000 0.0000  6 Ni 1.97
Ni3 0.2500 0.8381 0.6764  2 C 1.97
C2 0.5000 0.0000 0.0000  6 Ni 1.97
Ni4 0.2500 0.3236 0.1618  2 C 1.97
Ni5 0.2500 0.8382 0.1618  2 C 1.97
Ni6 0.7500 0.1618 0.8382  2 C 1.97
Dy1 0.7500 0.6667 0.3334  12 Ni 2.75-2.94
Dy2 0.2500 0.3333 0.6666  12 Ni 2.75-2.94

(2)
VASP calculation (GGA-PBE) on an optimized crystal structure of Dy2Ni4C.

Computed properties:
VASP energy	-6.19	eV/atom
space group	I4/mmm, No. 139
V	15.49	A^3/atom
formation energy from the elements	-259	meV/atom

Cell: 3.8139 3.8139 7.9276 Å, 76.08 76.08 90.00°
Last column: nearest neighbours and their distance in Å.
Atoms (fractional coordinates):
C1 0.0000 0.0000 0.0000  6 Ni 1.88-1.91
Ni1 0.0000 0.5000 0.0000  2 C 1.91
Ni2 0.1261 0.1261 0.7478  1 C 1.88
Ni3 0.5000 0.0000 0.0000  2 C 1.91
Ni4 0.8739 0.8739 0.2522  1 C 1.88
Dy1 0.6658 0.6658 0.6684  4 Ni 2.76
Dy2 0.3342 0.3342 0.3316  4 Ni 2.76